(1)
A relaxed structure of Na3Pu2NpN6. Source: the Alexandria database, functional PBE.

The value obtained for the total magnetic moment is 8.00 μB/f.u. The uncorrected formation energy is -0.83 eV per atom.

The space group is C2/m (No. 12) and the conventional cell measures 6.0335, 10.4511 and 5.9732 Å, with angles of 90.00, 109.69 and 90.00 degrees. The distinct sites, in fractional coordinates, are Na at (0.0000, 0.0000, 0.0000), Na at (0.0000, 0.3348, 0.0000), Pu at (0.0000, 0.1667, 0.5000), Np at (0.0000, 0.5000, 0.5000), N at (0.2215, 0.3386, 0.6807) and N at (0.2371, 0.0000, 0.6795).


(2)
A relaxed structure of SmTl2GaSe4. Source: the Alexandria database, functional PBE.

The value obtained for the total magnetic moment is 0.00 μB/f.u. The uncorrected formation energy is -0.80 eV per atom.

The space group is Imma (No. 74) and the conventional cell measures 8.4070, 8.6854 and 12.2440 Å, with angles of 90.00, 90.00 and 90.00 degrees. The distinct sites, in fractional coordinates, are Sm at (0.0000, 0.0000, 0.0000), Tl at (0.0000, 0.0000, 0.5000), Tl at (0.2500, 0.2500, 0.2500), Ga at (0.2500, 0.2500, 0.7500), Se at (0.0000, 0.0431, 0.7582) and Se at (0.2305, 0.2500, 0.9788).